Here is a relaxed structure of CoAg2Au from the Alexandria database. Energies are from PBE-GGA.

Properties
The calculation puts the total DFT energy (no corrections) at -3.72 eV/atom. The value obtained for the calculated formation energy is 0.30 eV per atom. The value obtained for the excess energy over the best structure of this formula in the dataset is 100 meV/atom. The crystal system is orthorhombic.

a = 5.579 Å, b = 5.579 Å, c = 5.579 Å
α = 150.54°, β = 128.34°, γ = 60.59°
Each line ends with the local moment (μB).
Sites, in units of the cell vectors:
Au  0.483  0.483  0.000  0.01
Co  0.254  0.754  0.500  1.81
Ag  0.016  0.016  0.000  -0.01
Ag  0.748  0.248  0.500  -0.01